Material: K2BeW
Method: DFT, PBE-GGA
State: optimized geometry

For the uncorrected energy, the calculation gives -3.133 eV per atom. Its formation energy is 1586 meV per atom.

The space group is P2/m (No. 10) and the conventional cell measures 2.694, 6.006 and 5.335 Å, with angles of 90.00, 93.37 and 90.00 degrees. The asymmetric unit holds K at (0.222, 0.000, 0.256), Be at (0.000, 0.500, 0.500) and W at (0.500, 0.500, 0.000).